VASP calculation (GGA-PBE) on CdAg2B after structural relaxation.

Results
calculated formation energy: 0.82 eV per atom
final energy: -2.499 eV/atom

```
4
Lattice="0.4654 -4.3884 -0.9807 -3.4592 -2.8388 0.6417 -2.1658 -1.7638 -3.5545" Properties=species:S:1:pos:R:3 pbc="T T T"
B 0.0000 0.0000 0.0000
Cd -2.5798 -4.4955 -1.9468
Ag -3.8697 -6.7433 -2.9202
Ag -1.2899 -2.2478 -0.9734
```

=====

VASP calculation (GGA-PBE) on LaIrPd3 after structural relaxation.

Results
calculated formation energy: 1.26 eV per atom
final energy: -4.616 eV/atom

```
5
Lattice="4.9869 0.0000 0.0000 0.0000 4.9869 0.0000 0.0000 0.0000 4.9869" Properties=species:S:1:pos:R:3 pbc="T T T"
Ir 2.4935 2.4935 2.4935
Pd 2.4935 0.0000 0.0000
Pd 0.0000 2.4935 0.0000
Pd 0.0000 0.0000 2.4935
La 0.0000 0.0000 0.0000
```

=====

VASP calculation (GGA-PBE) on Sr2Zn3Ge4 after structural relaxation.

Results
calculated formation energy: -0.26 eV per atom
final energy: -3.109 eV/atom

```
18
Lattice="-2.2270 5.1659 -2.1337 -6.1138 -0.5443 5.0632 5.3015 1.4921 6.5619" Properties=species:S:1:pos:R:3 pbc="T T T"
Ge -1.6024 1.6252 1.3658
Ge -0.3234 1.9056 9.1924
Ge 1.3704 5.1308 2.5092
Ge -2.7625 3.8117 3.6290
Ge -1.4370 4.4885 8.1255
Ge -4.4097 0.9829 6.9822
Ge -0.2769 2.3020 5.8624
Ge -2.7159 4.2081 0.2990
Zn 0.0000 0.0000 0.0000
Zn -4.1704 2.3108 1.4647
Zn -2.7858 3.1761 6.3557
Zn -0.2536 2.9376 3.1356
Zn -1.6723 0.5931 7.4226
Zn -1.3671 5.5206 2.0688
Sr -5.7298 2.9910 4.7390
Sr -2.7015 0.5785 4.2202
Sr -0.3379 5.5352 5.2712
Sr 2.6904 3.1227 4.7523
```

=====

VASP calculation (GGA-PBE) on Rb2AgTe6 after structural relaxation.

Results
final energy: -2.868 eV/atom

```
9
Lattice="-0.0655 2.6632 3.8763 2.9112 -4.0255 8.9835 6.7730 7.6451 1.0304" Properties=species:S:1:pos:R:3 pbc="T T T"
Te 4.4207 4.1132 2.6250
Te 2.8282 -0.6993 5.9046
Te 5.1980 2.1696 11.2652
Te 3.2843 -1.4673 10.0858
Te 6.3343 7.7501 3.8044
Te 6.7904 6.9821 7.9856
Rb 3.0666 3.0968 6.0335
Rb 6.5520 3.1860 7.8568
Ag 0.0000 0.0000 0.0000
```

=====

VASP calculation (GGA-PBE) on CaGeIr3 after structural relaxation.

Results
calculated formation energy: 0.35 eV per atom
final energy: -6.286 eV/atom

```
5
Lattice="4.6272 0.0000 0.0000 0.0000 4.6272 0.0000 0.0000 0.0000 4.6272" Properties=species:S:1:pos:R:3 pbc="T T T"
Ge 0.0000 0.0000 0.0000
Ir 2.3136 0.0000 0.0000
Ir 0.0000 0.0000 2.3136
Ir 0.0000 2.3136 0.0000
Ca 2.3136 2.3136 2.3136
```

=====

VASP calculation (GGA-PBE) on Ac3Tl2Ag2 after structural relaxation.

Results
calculated formation energy: -0.31 eV per atom
final energy: -3.561 eV/atom

```
7
Lattice="-1.0752 -1.1830 -4.5573 4.2912 -4.2195 2.6419 -7.5349 -2.3496 2.3877" Properties=species:S:1:pos:R:3 pbc="T T T"
Ag 1.3182 -3.7398 -1.8992
Ag -5.6371 -4.0123 2.3715
Tl -2.1338 -6.5237 -0.3622
Tl -2.1852 -1.2285 0.8345
Ac -4.1242 -3.7825 -0.6041
Ac -0.5376 -0.5915 -2.2786
Ac -0.1947 -3.9696 1.0764
```

=====

VASP calculation (GGA-PBE) on ZnGaCuAg after structural relaxation.

Results
calculated formation energy: -0.02 eV per atom
final energy: -2.832 eV/atom

```
4
Lattice="2.9120 0.0004 0.0037 0.0004 2.9120 -0.0037 -0.0062 0.0062 7.2083" Properties=species:S:1:pos:R:3 pbc="T T T"
Cu 0.4217 2.4907 1.5738
Zn 1.8774 1.0350 7.1979
Ga 1.8789 1.0335 3.1879
Ag 0.4234 2.4889 5.2562
```

=====

VASP calculation (GGA-PBE) on KTl2CdIn after structural relaxation.

Results
calculated formation energy: -0.05 eV per atom
final energy: -1.948 eV/atom

```
5
Lattice="4.8342 0.0000 0.0000 0.0000 4.8342 0.0000 -2.4171 -2.4171 6.8861" Properties=species:S:1:pos:R:3 pbc="T T T"
Cd 0.0000 2.4171 3.4431
K 0.0000 0.0000 0.0000
Tl 2.4171 2.4171 1.5420
Tl 0.0000 0.0000 5.3441
In 2.4171 0.0000 3.4431
```

=====

> Which formula does entry 4 have?

Rb2AgTe6